Entry from OQMD via LeMat-Bulk: crystalline CuSnSb at its relaxed geometry (PBE-GGA).

Cell: 4.627 4.627 4.627 Å, 60.00 60.00 60.00°
Fractional positions:
Cu: 0.000 0.000 0.000
Sb: 0.250 0.250 0.250
Sn: 0.750 0.750 0.750

Computed properties:
space-group type: No. 216
energy: -3.90 eV/atom